No. 1
Cs2NbCdTe4: relaxed, GGA-PBE.

The structure in POSCAR format:
```
Cs2NbCdTe4
1.0
-3.329 5.524 -1.786
-7.763 0.470 3.386
3.456 9.347 9.931
Nb Te Cs Cd
2 8 4 2
direct
0.500 0.000 0.000 Nb
0.250 0.500 0.500 Nb
0.437 0.700 0.385 Te
0.862 0.700 0.615 Te
0.178 0.300 0.385 Te
0.522 0.300 0.615 Te
0.888 0.800 0.885 Te
0.572 0.200 0.115 Te
0.313 0.800 0.115 Te
0.228 0.200 0.885 Te
0.932 0.500 0.137 Cs
0.818 0.000 0.363 Cs
0.182 0.000 0.637 Cs
0.568 0.500 0.863 Cs
0.000 0.000 0.000 Cd
0.750 0.500 0.500 Cd
```

Properties
spin magnetization	2.0	μB per cell
E_form (uncorrected)	-652	meV per atom
crystal system	orthorhombic
density of states at the Fermi level	0.4459	states/eV per atom

---

No. 2
Sr2NCl2: relaxed, GGA-PBE.

The structure in POSCAR format:
```
Sr2NCl2
1.0
-0.598 4.225 0.972
-3.112 0.265 -3.066
-6.752 0.443 3.768
Cl Sr N
2 2 1
direct
0.750 0.250 0.500 Cl
0.250 0.750 0.500 Cl
0.383 0.383 0.234 Sr
0.617 0.617 0.766 Sr
0.000 0.000 0.000 N
```

Properties
spin magnetization	1.0	μB per cell
E_form (uncorrected)	-816	meV per atom
crystal system	tetragonal
density of states at the Fermi level	0.2958	states/eV per atom

---

No. 3
Pa4SiTe2Se: relaxed, GGA-PBE.

The structure in POSCAR format:
```
Pa4SiTe2Se
1.0
4.158 0.000 0.000
0.000 6.975 0.045
0.000 -2.520 7.219
Si Pa Te Se
1 4 2 1
direct
0.500 0.500 0.000 Si
0.500 0.244 0.219 Pa
0.000 0.733 0.217 Pa
0.500 0.756 0.781 Pa
0.000 0.267 0.783 Pa
0.500 0.000 0.500 Te
0.000 0.500 0.500 Te
0.000 0.000 0.000 Se
```

Properties
spin magnetization	0.0	μB per cell
E_form (uncorrected)	-765	meV per atom
crystal system	monoclinic
density of states at the Fermi level	1.8244	states/eV per atom

---

No. 4
UAsF: relaxed, GGA-PBE.

The structure in POSCAR format:
```
UAsF
1.0
3.939 0.000 0.000
-1.970 3.412 0.000
0.000 0.000 9.625
As U F
2 2 2
direct
0.000 0.000 0.641 As
0.000 0.000 0.359 As
0.333 0.667 0.808 U
0.667 0.333 0.192 U
0.333 0.667 0.079 F
0.667 0.333 0.921 F
```

Properties
energy above the lowest structure with this stoichiometry	347	meV per atom
spin magnetization	4.1	μB per cell
E_form (uncorrected)	-1422	meV per atom
crystal system	trigonal
density of states at the Fermi level	1.8407	states/eV per atom

---

No. 5
Pa3Si3Ru2: relaxed, GGA-PBE.

The structure in POSCAR format:
```
Pa3Si3Ru2
1.0
5.439 0.000 0.000
0.000 7.863 0.000
0.000 0.000 14.334
Ru Pa Si
8 12 12
direct
0.629 0.587 0.393 Ru
0.371 0.413 0.893 Ru
0.129 0.913 0.607 Ru
0.871 0.087 0.393 Ru
0.129 0.913 0.893 Ru
0.629 0.587 0.107 Ru
0.371 0.413 0.607 Ru
0.871 0.087 0.107 Ru
0.384 0.963 0.386 Pa
0.884 0.537 0.614 Pa
0.115 0.181 0.750 Pa
0.885 0.819 0.250 Pa
0.884 0.537 0.886 Pa
0.116 0.463 0.114 Pa
0.616 0.037 0.614 Pa
0.116 0.463 0.386 Pa
0.385 0.681 0.750 Pa
0.616 0.037 0.886 Pa
0.384 0.963 0.114 Pa
0.615 0.319 0.250 Pa
0.605 0.305 0.035 Si
0.895 0.805 0.035 Si
0.113 0.174 0.250 Si
0.395 0.695 0.535 Si
0.105 0.195 0.535 Si
0.887 0.826 0.750 Si
0.105 0.195 0.965 Si
0.395 0.695 0.965 Si
0.895 0.805 0.465 Si
0.613 0.326 0.750 Si
0.387 0.674 0.250 Si
0.605 0.305 0.465 Si
```

Properties
spin magnetization	0.0	μB per cell
E_form (uncorrected)	-631	meV per atom
crystal system	orthorhombic
density of states at the Fermi level	1.4205	states/eV per atom

---

No. 6
Ho2AsS: relaxed, GGA-PBE.

The structure in POSCAR format:
```
Ho2AsS
1.0
-3.084 -2.364 -0.603
0.259 -3.828 0.861
-3.185 -0.773 6.500
Ho As S
2 1 1
direct
0.254 0.254 0.238 Ho
0.080 0.080 0.761 Ho
0.668 0.668 0.996 As
0.498 0.498 0.505 S
```

Properties
energy above the lowest structure with this stoichiometry	119	meV per atom
spin magnetization	0.0	μB per cell
E_form (uncorrected)	-1662	meV per atom
crystal system	trigonal
density of states at the Fermi level	0.6755	states/eV per atom

---

No. 7
CaSbRh3: relaxed, GGA-PBE.

The structure in POSCAR format:
```
CaSbRh3
1.0
4.746 0.000 0.000
0.000 4.746 0.000
0.000 0.000 4.746
Rh Ca Sb
3 1 1
direct
0.000 0.000 0.500 Rh
0.000 0.500 0.000 Rh
0.500 0.000 0.000 Rh
0.000 0.000 0.000 Ca
0.500 0.500 0.500 Sb
```

Properties
energy above the lowest structure with this stoichiometry	1562	meV per atom
spin magnetization	0.0	μB per cell
E_form (uncorrected)	1180	meV per atom
crystal system	cubic
density of states at the Fermi level	0.5936	states/eV per atom

---

No. 8
Ba3Li2B10H6O22: relaxed, GGA-PBE.

The structure in POSCAR format:
```
Ba3Li2B10H6O22
1.0
6.843 -0.044 -0.017
2.789 6.249 -0.017
4.246 2.735 20.415
B O H Ba Li
20 44 12 6 4
direct
0.530 0.263 0.411 B
0.746 0.390 0.549 B
0.737 0.470 0.089 B
0.263 0.530 0.911 B
0.367 0.429 0.131 B
0.159 0.422 0.246 B
0.729 0.896 0.815 B
0.470 0.737 0.589 B
0.422 0.159 0.746 B
0.254 0.610 0.451 B
0.390 0.746 0.049 B
0.610 0.254 0.951 B
0.841 0.578 0.754 B
0.104 0.271 0.685 B
0.571 0.633 0.369 B
0.271 0.104 0.185 B
0.578 0.841 0.254 B
0.429 0.367 0.631 B
0.896 0.729 0.315 B
0.633 0.571 0.869 B
0.065 0.722 0.484 O
0.602 0.350 0.126 O
0.677 0.611 0.552 O
0.092 0.665 0.958 O
0.777 0.843 0.257 O
0.713 0.738 0.873 O
0.278 0.935 0.016 O
0.485 0.725 0.302 O
0.850 0.511 0.135 O
0.650 0.398 0.374 O
0.323 0.389 0.448 O
0.935 0.278 0.516 O
0.006 0.862 0.327 O
0.335 0.908 0.542 O
0.722 0.065 0.984 O
0.262 0.287 0.627 O
0.157 0.223 0.243 O
0.719 0.390 0.920 O
0.398 0.650 0.874 O
0.281 0.610 0.080 O
0.223 0.157 0.743 O
0.862 0.006 0.827 O
0.843 0.777 0.757 O
0.515 0.275 0.698 O
0.955 0.490 0.698 O
0.489 0.150 0.365 O
0.665 0.092 0.458 O
0.350 0.602 0.626 O
0.138 0.994 0.173 O
0.511 0.850 0.635 O
0.389 0.323 0.948 O
0.287 0.262 0.127 O
0.611 0.677 0.052 O
0.490 0.955 0.198 O
0.150 0.489 0.865 O
0.738 0.713 0.373 O
0.994 0.138 0.673 O
0.510 0.045 0.802 O
0.725 0.485 0.802 O
0.390 0.719 0.420 O
0.045 0.510 0.302 O
0.908 0.335 0.042 O
0.610 0.281 0.580 O
0.275 0.515 0.198 O
0.153 0.637 0.999 H
0.160 0.803 0.311 H
0.803 0.160 0.811 H
0.637 0.153 0.499 H
0.197 0.840 0.189 H
0.425 0.008 0.628 H
0.992 0.575 0.872 H
0.840 0.197 0.689 H
0.363 0.847 0.501 H
0.847 0.363 0.001 H
0.008 0.425 0.128 H
0.575 0.992 0.372 H
0.068 0.148 0.402 Ba
0.852 0.932 0.098 Ba
0.148 0.068 0.902 Ba
0.727 0.273 0.250 Ba
0.932 0.852 0.598 Ba
0.273 0.727 0.750 Ba
0.793 0.755 0.462 Li
0.207 0.245 0.538 Li
0.245 0.207 0.038 Li
0.755 0.793 0.962 Li
```

Properties
spin magnetization	0.1	μB per cell
crystal system	monoclinic
density of states at the Fermi level	0.0000	states/eV per atom
VASP energy	-607.71	eV per cell

---

No. 9
Tm4IrAu2: relaxed, GGA-PBE.

The structure in POSCAR format:
```
Tm4IrAu2
1.0
7.051 -0.945 -0.378
-1.353 8.104 -0.337
-2.948 -4.147 6.409
Au Tm Ir
4 8 2
direct
0.578 0.444 0.348 Au
0.750 0.406 0.832 Au
0.541 0.873 0.173 Au
0.092 0.235 0.608 Au
0.322 0.095 0.355 Tm
0.561 0.670 0.779 Tm
0.365 0.134 0.846 Tm
0.713 0.980 0.635 Tm
0.898 0.255 0.255 Tm
0.212 0.500 0.112 Tm
0.867 0.707 0.279 Tm
0.053 0.676 0.767 Tm
0.252 0.720 0.521 Ir
0.046 0.054 0.990 Ir
```

Properties
energy above the lowest structure with this stoichiometry	0	meV per atom
spin magnetization	0.0	μB per cell
crystal system	triclinic
density of states at the Fermi level	0.7293	states/eV per atom

---

No. 10
Pm5Er2Bi4: relaxed, GGA-PBE.

The structure in POSCAR format:
```
Pm5Er2Bi4
1.0
3.527 0.000 0.000
0.000 7.737 0.760
-1.764 -1.141 13.410
Bi Pm Er
4 5 2
direct
0.035 0.674 0.071 Bi
0.965 0.326 0.929 Bi
0.679 0.503 0.358 Bi
0.321 0.497 0.642 Bi
0.143 0.851 0.285 Pm
0.909 0.694 0.819 Pm
0.857 0.149 0.715 Pm
0.500 0.000 0.000 Pm
0.091 0.306 0.181 Pm
0.763 0.804 0.527 Er
0.237 0.196 0.473 Er
```

Properties
spin magnetization	0.0	μB per cell
crystal system	monoclinic
density of states at the Fermi level	1.0789	states/eV per atom
VASP energy	-51.71	eV per cell

---

No. 11
RbTa3Os: relaxed, GGA-PBE.

The structure in POSCAR format:
```
RbTa3Os
1.0
4.676 0.000 0.000
0.000 4.676 0.000
0.000 0.000 4.676
Os Rb Ta
1 1 3
direct
0.500 0.500 0.500 Os
0.000 0.000 0.000 Rb
0.000 0.000 0.500 Ta
0.000 0.500 0.000 Ta
0.500 0.000 0.000 Ta
```

Properties
energy above the lowest structure with this stoichiometry	2024	meV per atom
spin magnetization	0.0	μB per cell
crystal system	cubic
density of states at the Fermi level	0.6328	states/eV per atom

---

No. 12
Cs8HPbAu2: relaxed, GGA-PBE.

The structure in POSCAR format:
```
Cs8HPbAu2
1.0
-7.910 2.914 -0.819
-2.358 -7.195 -3.767
-2.498 -4.127 9.445
Cs Au Pb H
8 2 1 1
direct
0.163 0.775 0.221 Cs
0.361 0.276 0.500 Cs
0.701 0.750 0.000 Cs
0.837 0.225 0.221 Cs
0.299 0.250 0.000 Cs
0.837 0.225 0.779 Cs
0.639 0.724 0.500 Cs
0.163 0.775 0.779 Cs
0.500 0.500 0.224 Au
0.500 0.500 0.776 Au
0.000 0.000 0.500 Pb
0.000 0.000 0.000 H
```

Properties
spin magnetization	0.2	μB per cell
crystal system	monoclinic
density of states at the Fermi level	0.5449	states/eV per atom
VASP energy	-21.88	eV per cell

---

No. 13
Zr3ReAs: relaxed, GGA-PBE.

The structure in POSCAR format:
```
Zr3ReAs
1.0
5.052 0.000 0.000
0.000 5.052 0.000
0.000 0.000 5.052
Re Zr As
1 3 1
direct
0.000 0.000 0.000 Re
0.000 0.000 0.500 Zr
0.500 0.000 0.000 Zr
0.000 0.500 0.000 Zr
0.500 0.500 0.500 As
```

Properties
energy above the lowest structure with this stoichiometry	0	meV per atom
spin magnetization	0.0	μB per cell
crystal system	cubic
density of states at the Fermi level	1.8068	states/eV per atom

---

No. 14
CoNiHg2: relaxed, GGA-PBE.

The structure in POSCAR format:
```
CoNiHg2
1.0
-0.723 6.283 3.328
-6.744 -1.666 1.680
-2.852 1.146 4.890
Hg Co Ni
4 2 2
direct
0.375 0.371 0.750 Hg
0.629 0.125 0.250 Hg
0.875 0.879 0.750 Hg
0.121 0.625 0.250 Hg
0.500 0.500 0.000 Co
0.250 0.750 0.500 Co
0.000 0.000 0.000 Ni
0.750 0.250 0.500 Ni
```

Properties
energy above the lowest structure with this stoichiometry	365	meV per atom
spin magnetization	3.1	μB per cell
crystal system	tetragonal
density of states at the Fermi level	2.3210	states/eV per atom

---

No. 15
Ta2Re2Os: relaxed, GGA-PBE.

The structure in POSCAR format:
```
Ta2Re2Os
1.0
7.044 2.364 3.362
6.184 5.306 -0.339
-7.810 -2.348 -0.051
Re Os Ta
2 1 2
direct
0.250 0.750 0.500 Re
0.750 0.250 0.500 Re
0.000 0.000 0.000 Os
0.598 0.598 0.000 Ta
0.402 0.402 0.000 Ta
```

Properties
spin magnetization	0.0	μB per cell
crystal system	tetragonal
density of states at the Fermi level	0.9306	states/eV per atom
VASP energy	-56.85	eV per cell

---

No. 16
TlFe4Si: relaxed, GGA-PBE.

The structure in POSCAR format:
```
TlFe4Si
1.0
0.037 1.893 4.525
0.019 4.865 0.624
-3.986 2.265 1.744
Fe Tl Si
4 1 1
direct
0.127 0.624 0.624 Fe
0.624 0.127 0.624 Fe
0.624 0.624 0.624 Fe
0.624 0.624 0.127 Fe
0.000 0.000 0.000 Tl
0.250 0.250 0.250 Si
```

Properties
spin magnetization	8.7	μB per cell
E_form (uncorrected)	358	meV per atom
crystal system	cubic
density of states at the Fermi level	0.6139	states/eV per atom

---

No. 17
Y12TlZn6: relaxed, GGA-PBE.

The structure in POSCAR format:
```
Y12TlZn6
1.0
0.654 -7.400 -4.543
1.699 -1.586 8.392
-8.069 3.180 -0.777
Zn Y Tl
6 12 1
direct
0.500 0.877 0.377 Zn
0.377 0.500 0.877 Zn
0.500 0.123 0.623 Zn
0.123 0.623 0.500 Zn
0.877 0.377 0.500 Zn
0.623 0.500 0.123 Zn
0.483 0.192 0.291 Y
0.099 0.808 0.291 Y
0.291 0.483 0.192 Y
0.517 0.808 0.709 Y
0.709 0.517 0.808 Y
0.709 0.901 0.192 Y
0.291 0.099 0.808 Y
0.901 0.192 0.709 Y
0.192 0.709 0.901 Y
0.808 0.709 0.517 Y
0.192 0.291 0.483 Y
0.808 0.291 0.099 Y
0.000 0.000 0.000 Tl
```

Properties
spin magnetization	0.0	μB per cell
crystal system	cubic
density of states at the Fermi level	0.8181	states/eV per atom
VASP energy	-91.88	eV per cell

---

No. 18
Y2ZnGaW: relaxed, GGA-PBE.

The structure in POSCAR format:
```
Y2ZnGaW
1.0
-0.628 -0.078 5.334
-1.941 -4.275 -0.291
4.852 -2.240 0.538
W Ga Y Zn
1 1 2 1
direct
0.000 0.500 0.000 W
0.000 0.000 0.000 Ga
0.000 0.000 0.500 Y
0.500 0.000 0.000 Y
0.500 0.500 0.500 Zn
```

Properties
spin magnetization	1.6	μB per cell
crystal system	tetragonal
density of states at the Fermi level	1.0356	states/eV per atom
VASP energy	-26.67	eV per cell

---

No. 19
LaYTl2: relaxed, GGA-PBE.

The structure in POSCAR format:
```
LaYTl2
1.0
3.847 0.000 0.000
0.000 6.816 -0.055
0.000 4.508 4.842
Tl La Y
2 1 1
direct
0.000 0.000 0.000 Tl
0.500 0.500 0.000 Tl
0.000 0.000 0.500 La
0.500 0.500 0.500 Y
```

Properties
spin magnetization	0.0	μB per cell
crystal system	monoclinic
density of states at the Fermi level	0.9215	states/eV per atom
VASP energy	-17.16	eV per cell